DFT (PBE) results for KRuBrO4 after structural relaxation.

- Energy relative to the elements, uncorrected: -0.91 eV per atom
- Uncorrected energy: -76.477 eV per cell
- Calculated density: 2.7 g/cm3

Cell and atoms, written as POSCAR:
```
KRuBrO4
1.0
7.1816 0.0534 -0.2855
2.4292 6.7585 -0.2855
1.6699 1.1836 7.1098
O Ru Br K
8 2 2 2
Direct
0.4986 0.1564 0.1552 O
0.3209 0.3209 0.4917 O
0.6791 0.6791 0.5083 O
0.4737 0.4737 0.7926 O
0.5263 0.5263 0.2074 O
0.8436 0.5014 0.8448 O
0.1564 0.4986 0.1552 O
0.5014 0.8436 0.8448 O
0.6245 0.6245 0.7459 Ru
0.3755 0.3755 0.2541 Ru
0.9822 0.9822 0.6909 Br
0.0178 0.0178 0.3091 Br
0.2259 0.2259 0.8630 K
0.7741 0.7741 0.1370 K
```